{
  "formula": "NdTh2Cu",
  "functional": "PBE-GGA",
  "state": "optimized geometry",
  "lattice": [[3.622, 0.000, 0.000], [0.000, 3.622, 0.000], [0.000, 0.000, 8.659]],
  "species": ["Nd", "Th", "Th", "Cu"],
  "fractional_positions": [[0.000, 0.000, 0.000], [0.500, 0.500, 0.302], [0.500, 0.500, 0.698], [0.000, 0.000, 0.500]],
  "ef_mev_per_atom": 20.6,
  "polymorph_energy_mev_per_atom": 0,
  "total_energy_ev_per_atom": -5.91,
  "spacegroup": "P4/mmm (123)",
  "m_tot_mub_per_fu": 0.0
}